#i
This record from the Alexandria database describes a geometry-optimized AuBr2F structure. The functional is PBE-GGA.

Results
M_tot	0.0	μB/f.u.

a b c (Å): 8.632 8.632 6.581
angles (deg): 49.02 49.02 90.00
Element x y z (fractional)
Au 0.750 0.250 0.500
Br 0.073 0.625 0.250
Br 0.875 0.927 0.750
F 0.250 0.750 0.500
Br 0.677 0.125 0.250
Au 0.000 0.000 0.000
F 0.500 0.500 0.000
Br 0.375 0.323 0.750

***

#ii
This record from the Alexandria database describes a geometry-optimized AuBr2F structure. The functional is PBE-GGA.

Results
M_tot	0.0	μB/f.u.

a b c (Å): 4.737 4.737 4.737
angles (deg): 60.00 60.00 60.00
Element x y z (fractional)
Br 0.250 0.250 0.250
Br 0.750 0.750 0.750
Au 0.500 0.500 0.500
F 0.000 0.000 0.000

***

#iii
This record from the Alexandria database describes a geometry-optimized AuBr2F structure. The functional is PBE-GGA.

Results
M_tot	0.0	μB/f.u.

a b c (Å): 3.903 4.385 6.354
angles (deg): 91.72 107.33 90.01
Element x y z (fractional)
Br 0.853 0.001 0.708
F 0.500 0.509 0.000
Au 0.500 0.009 0.000
Br 0.147 0.016 0.292

***

#iv
This record from the Alexandria database describes a geometry-optimized AuBr2F structure. The functional is PBE-GGA.

Results
M_tot	1.4	μB/f.u.

a b c (Å): 8.538 8.538 8.538
angles (deg): 25.77 25.77 25.77
Element x y z (fractional)
Br 0.095 0.095 0.095
Br 0.905 0.905 0.905
Au 0.000 0.000 0.000
F 0.500 0.500 0.500

***

Stability, highest: #iii

***

#i
This record from the Alexandria database describes a geometry-optimized AuBrF3 structure. The functional is PBE-GGA.

Results
M_tot	0.0	μB/f.u.

a b c (Å): 4.471 4.471 4.471
angles (deg): 90.00 90.00 90.00
Element x y z (fractional)
F 0.500 0.000 0.000
Au 0.500 0.500 0.500
F 0.000 0.500 0.000
F 0.000 0.000 0.500
Br 0.000 0.000 0.000

***

#ii
This record from the Alexandria database describes a geometry-optimized AuBrF3 structure. The functional is PBE-GGA.

Results
M_tot	1.0	μB/f.u.

a b c (Å): 4.769 5.569 7.368
angles (deg): 85.57 89.99 90.00
Element x y z (fractional)
F 0.992 0.994 0.701
F 0.492 0.358 0.201
Au 0.663 0.688 0.202
Br 0.407 0.288 0.708
Au 0.163 0.664 0.700
F 0.971 0.537 0.344
F 0.470 0.817 0.558
F 0.346 0.831 0.058
Br 0.907 0.065 0.193
F 0.846 0.522 0.843

***

#iii
This record from the Alexandria database describes a geometry-optimized AuBrF3 structure. The functional is PBE-GGA.

Results
M_tot	1.5	μB/f.u.

a b c (Å): 4.369 4.369 4.369
angles (deg): 90.00 90.00 90.00
Element x y z (fractional)
F 0.000 0.500 0.000
F 0.500 0.000 0.000
Au 0.000 0.000 0.000
Br 0.500 0.500 0.500
F 0.000 0.000 0.500

***

Stability, highest: #ii

***

#i
This record from the Alexandria database describes a geometry-optimized AuBrOF2 structure. The functional is PBE-GGA.

Results
M_tot	0.0	μB/f.u.

a b c (Å): 4.282 4.282 4.218
angles (deg): 90.00 90.00 90.00
Element x y z (fractional)
F 0.500 0.000 0.000
Br 0.500 0.500 0.500
F 0.000 0.500 0.000
O 0.000 0.000 0.500
Au 0.000 0.000 0.000

***

#ii
This record from the Alexandria database describes a geometry-optimized AuBrOF2 structure. The functional is PBE-GGA.

Results
M_tot	0.0	μB/f.u.

a b c (Å): 4.729 4.729 3.712
angles (deg): 90.00 90.00 90.00
Element x y z (fractional)
F 0.000 0.500 0.000
Au 0.500 0.500 0.500
F 0.500 0.000 0.000
O 0.000 0.000 0.500
Br 0.000 0.000 0.000

***

Stability, highest: #i

***

#i
This record from the Alexandria database describes a geometry-optimized FeAu2Br structure. The functional is PBE-GGA.

Results
M_tot	3.3	μB/f.u.

a b c (Å): 3.208 3.717 7.193
angles (deg): 89.78 90.00 90.00
Element x y z (fractional)
Au 0.000 0.999 0.974
Fe 0.500 0.500 0.807
Au 0.500 0.498 0.177
Br 0.000 0.503 0.542

***

#ii
This record from the Alexandria database describes a geometry-optimized FeAu2Br structure. The functional is PBE-GGA.

Results
M_tot	3.4	μB/f.u.

a b c (Å): 6.458 6.458 4.379
angles (deg): 70.23 70.23 27.20
Element x y z (fractional)
Au 0.954 0.954 0.046
Fe 0.250 0.250 0.250
Au 0.546 0.546 0.454
Br 0.750 0.750 0.750

***

Stability, highest: #i

***

#i
This record from the Alexandria database describes a geometry-optimized FeAu2Br structure. The functional is PBE-GGA.

Results
M_tot	3.5	μB/f.u.

a b c (Å): 9.093 9.093 9.093
angles (deg): 20.60 20.60 20.60
Element x y z (fractional)
Br 0.478 0.478 0.478
Au 0.264 0.264 0.264
Au 0.011 0.011 0.011
Fe 0.748 0.748 0.748

***

#ii
This record from the Alexandria database describes a geometry-optimized FeAu2Br structure. The functional is PBE-GGA.

Results
M_tot	3.0	μB/f.u.

a b c (Å): 4.756 4.756 4.756
angles (deg): 60.00 60.00 60.00
Element x y z (fractional)
Fe 0.000 0.000 0.000
Au 0.250 0.250 0.250
Au 0.750 0.750 0.750
Br 0.500 0.500 0.500

***

#iii
This record from the Alexandria database describes a geometry-optimized FeAu2Br structure. The functional is PBE-GGA.

Results
M_tot	3.4	μB/f.u.

a b c (Å): 9.590 9.590 9.590
angles (deg): 18.39 18.39 18.39
Element x y z (fractional)
Au 0.012 0.012 0.012
Br 0.250 0.250 0.250
Au 0.488 0.488 0.488
Fe 0.750 0.750 0.750

***

Stability, highest: #i

***

#i
This record from the Alexandria database describes a geometry-optimized FeAu2Br structure. The functional is PBE-GGA.

Results
M_tot	3.5	μB/f.u.

a b c (Å): 3.271 4.336 5.672
angles (deg): 90.00 90.00 90.00
Element x y z (fractional)
Au 0.500 0.500 0.000
Au 0.000 0.000 0.000
Br 0.500 0.000 0.500
Fe 0.000 0.500 0.500

***

#ii
This record from the Alexandria database describes a geometry-optimized FeAu2Br structure. The functional is PBE-GGA.

Results
M_tot	3.1	μB/f.u.

a b c (Å): 8.424 8.424 6.445
angles (deg): 49.19 49.19 90.00
Element x y z (fractional)
Au 0.551 0.125 0.250
Br 0.000 0.000 0.000
Fe 0.500 0.500 0.000
Br 0.750 0.250 0.500
Fe 0.250 0.750 0.500
Au 0.375 0.449 0.750
Au 0.875 0.801 0.750
Au 0.199 0.625 0.250

***

#iii
This record from the Alexandria database describes a geometry-optimized FeAu2Br structure. The functional is PBE-GGA.

Results
M_tot	3.4	μB/f.u.

a b c (Å): 5.834 5.834 5.834
angles (deg): 150.77 120.87 67.31
Element x y z (fractional)
Br 0.450 0.450 0.000
Au 0.029 0.029 0.000
Fe 0.251 0.751 0.500
Au 0.770 0.270 0.500

***

#iv
This record from the Alexandria database describes a geometry-optimized FeAu2Br structure. The functional is PBE-GGA.

Results
M_tot	3.2	μB/f.u.

a b c (Å): 3.217 3.215 7.381
angles (deg): 90.00 90.00 90.00
Element x y z (fractional)
Fe 0.500 0.500 0.750
Au 0.000 0.000 0.542
Br 0.500 0.500 0.250
Au 0.000 0.000 0.958

***

Stability, highest: #iv

***

#i
This record from the Alexandria database describes a geometry-optimized Fe3AuBr structure. The functional is PBE-GGA.

Results
M_tot	6.2	μB/f.u.

a b c (Å): 4.362 4.362 4.362
angles (deg): 90.00 90.00 90.00
Element x y z (fractional)
Au 0.500 0.500 0.500
Fe 0.500 0.000 0.000
Fe 0.000 0.000 0.500
Br 0.000 0.000 0.000
Fe 0.000 0.500 0.000

***

#ii
This record from the Alexandria database describes a geometry-optimized Fe3AuBr structure. The functional is PBE-GGA.

Results
M_tot	10.2	μB/f.u.

a b c (Å): 4.882 4.882 4.882
angles (deg): 90.00 90.00 90.00
Element x y z (fractional)
Fe 0.500 0.000 0.000
Au 0.000 0.000 0.000
Br 0.500 0.500 0.500
Fe 0.000 0.500 0.000
Fe 0.000 0.000 0.500

***

Stability, highest: #i

***

#i
This record from the Alexandria database describes a geometry-optimized FeAuBr4 structure. The functional is PBE-GGA.

Results
M_tot	2.9	μB/f.u.

a b c (Å): 6.136 6.136 6.136
angles (deg): 60.00 60.00 60.00
Element x y z (fractional)
Br 0.625 0.625 0.125
Au 0.000 0.000 0.000
Br 0.625 0.625 0.625
Fe 0.250 0.250 0.250
Br 0.625 0.125 0.625
Br 0.125 0.625 0.625

***

#ii
This record from the Alexandria database describes a geometry-optimized FeAuBr4 structure. The functional is PBE-GGA.

Results
M_tot	5.0	μB/f.u.

a b c (Å): 6.159 6.159 10.995
angles (deg): 90.00 90.00 90.00
Element x y z (fractional)
Br 0.282 0.234 0.871
Br 0.718 0.766 0.871
Au 0.000 0.000 0.500
Br 0.766 0.282 0.129
Fe 0.000 0.500 0.250
Br 0.234 0.718 0.129
Br 0.234 0.282 0.371
Au 0.000 0.000 0.000
Br 0.766 0.718 0.371
Br 0.282 0.766 0.629
Br 0.718 0.234 0.629
Fe 0.500 0.000 0.750

***

Stability, highest: #ii

***

#i
This record from the Alexandria database describes a geometry-optimized FeAuBr structure. The functional is PBE-GGA.

Results
M_tot	3.5	μB/f.u.

a b c (Å): 3.366 3.366 6.646
angles (deg): 90.00 90.00 120.00
Element x y z (fractional)
Br 0.667 0.333 0.413
Au 0.000 0.000 0.927
Fe 0.333 0.667 0.659

***

#ii
This record from the Alexandria database describes a geometry-optimized FeAuBr structure. The functional is PBE-GGA.

Results
M_tot	3.3	μB/f.u.

a b c (Å): 4.471 4.471 4.471
angles (deg): 60.00 60.00 60.00
Element x y z (fractional)
Fe 0.250 0.250 0.250
Au 0.000 0.000 0.000
Br 0.500 0.500 0.500

***

Stability, highest: #i

***

#i
This record from the Alexandria database describes a geometry-optimized Ga3AuBr structure. The functional is PBE-GGA.

Results
M_tot	0.0	μB/f.u.

a b c (Å): 5.572 5.572 5.572
angles (deg): 90.00 90.00 90.00
Element x y z (fractional)
Br 0.000 0.000 0.000
Ga 0.500 0.000 0.000
Ga 0.000 0.000 0.500
Au 0.500 0.500 0.500
Ga 0.000 0.500 0.000

***

#ii
This record from the Alexandria database describes a geometry-optimized Ga3AuBr structure. The functional is PBE-GGA.

Results
M_tot	0.0	μB/f.u.

a b c (Å): 5.099 5.099 5.099
angles (deg): 90.00 90.00 90.00
Element x y z (fractional)
Br 0.500 0.500 0.500
Ga 0.000 0.500 0.000
Ga 0.000 0.000 0.500
Ga 0.500 0.000 0.000
Au 0.000 0.000 0.000

***

Stability, highest: #ii

***

#i
This record from the Alexandria database describes a geometry-optimized Ga2Au2Br structure. The functional is PBE-GGA.

Results
M_tot	0.0	μB/f.u.

a b c (Å): 7.876 7.876 3.347
angles (deg): 90.00 90.00 90.00
Element x y z (fractional)
Br 0.000 0.000 0.000
Au 0.373 0.873 0.000
Au 0.627 0.127 0.000
Ga 0.171 0.671 0.500
Ga 0.671 0.829 0.500
Ga 0.329 0.171 0.500
Ga 0.829 0.329 0.500
Br 0.500 0.500 0.000
Au 0.127 0.373 0.000
Au 0.873 0.627 0.000

***

#ii
This record from the Alexandria database describes a geometry-optimized Ga2Au2Br structure. The functional is PBE-GGA.

Results
M_tot	0.0	μB/f.u.

a b c (Å): 4.666 4.666 6.290
angles (deg): 68.23 68.23 90.00
Element x y z (fractional)
Ga 0.750 0.250 0.500
Au 0.632 0.632 0.736
Br 0.000 0.000 0.000
Au 0.368 0.368 0.264
Ga 0.250 0.750 0.500

***

Stability, highest: #ii